Record 1
TbSm2Si | PBE-GGA | optimized geometry

The value obtained for the energy above the most stable polymorph in this dataset is 304 meV/atom. The calculation puts the raw formation energy at 0.194 eV/f.u.

It has space group R-3m (No. 166, hexagonal axes), with a = 3.6677 Å, b = 3.6677 Å, c = 32.6594 Å, α = 90.00°, β = 90.00° and γ = 120.00°. The distinct sites, in fractional coordinates, are Tb at (0.0000, 0.0000, 0.0000), Sm at (0.0000, 0.0000, 0.1071) and Si at (0.0000, 0.0000, 0.5000).

Record 2
CsZn2SnBr | PBE-GGA | optimized geometry

The calculation puts the raw formation energy at 1.693 eV/f.u.

It has space group P4/mmm (No. 123), with a = 5.941 Å, b = 5.941 Å, c = 6.600 Å, α = 90.00°, β = 90.00° and γ = 90.00°. The distinct sites, in fractional coordinates, are Cs at (0.000, 0.000, 0.000), Zn at (0.000, 0.500, 0.500), Sn at (0.500, 0.500, 0.000) and Br at (0.000, 0.000, 0.500).

Record 3
K4Nd3TmSe8 | PBE-GGA | optimized geometry

The calculation puts the raw formation energy at -27.973 eV/f.u.

It has space group R-3m (No. 166, hexagonal axes), with a = 8.6099 Å, b = 8.6099 Å, c = 23.1069 Å, α = 90.00°, β = 90.00° and γ = 120.00°. The distinct sites, in fractional coordinates, are K at (0.0000, 0.0000, 0.0000), K at (0.0000, 0.5000, 0.0000), Nd at (0.0000, 0.5000, 0.5000), Tm at (0.0000, 0.0000, 0.5000), Se at (0.0000, 0.0000, 0.2375) and Se at (0.0099, 0.5050, 0.2358).

Record 4
AlRuF3 | PBE-GGA | optimized geometry

The value obtained for the energy above the most stable polymorph in this dataset is 318 meV/atom. The calculation puts the raw formation energy at -4.670 eV/f.u.

It has space group Pm-3m (No. 221), with a = 4.250 Å, b = 4.250 Å, c = 4.250 Å, α = 90.00°, β = 90.00° and γ = 90.00°. The distinct sites, in fractional coordinates, are Al at (0.000, 0.000, 0.000), Ru at (0.500, 0.500, 0.500) and F at (0.000, 0.500, 0.500).

Record 5
PmLuBeSi | PBE-GGA | optimized geometry

The calculation puts the raw formation energy at -0.800 eV/f.u.

It has space group F-43m (No. 216), with a = 6.911 Å, b = 6.911 Å, c = 6.911 Å, α = 90.00°, β = 90.00° and γ = 90.00°. The distinct sites, in fractional coordinates, are Pm at (0.000, 0.000, 0.000), Lu at (0.000, 0.000, 0.500), Be at (0.250, 0.250, 0.250) and Si at (0.250, 0.250, 0.750).

Record 6
Rb12Pt3Au5 | PBE-GGA | optimized geometry

It has space group Ia-3d (No. 230), with a = 19.926 Å, b = 19.926 Å, c = 19.926 Å, α = 90.00°, β = 90.00° and γ = 90.00°. The distinct sites, in fractional coordinates, are Rb at (0.017, 0.078, 0.655), Pt at (0.000, 0.250, 0.125), Au at (0.000, 0.000, 0.000) and Au at (0.000, 0.250, 0.375).

Record 7
Pr2PuN | PBE-GGA | optimized geometry

The value obtained for the energy above the most stable polymorph in this dataset is 337 meV/atom. The calculation puts the raw formation energy at -0.134 eV/f.u.

It has space group P4/mmm (No. 123), with a = 3.231 Å, b = 3.231 Å, c = 9.074 Å, α = 90.00°, β = 90.00° and γ = 90.00°. The distinct sites, in fractional coordinates, are Pr at (0.000, 0.000, 0.164), Pu at (0.500, 0.500, 0.500) and N at (0.500, 0.500, 0.000).

Record 8
LiFeP3 | PBE-GGA | optimized geometry

The value obtained for the energy above the most stable polymorph in this dataset is 0 meV/atom.

It has space group Pm-3m (No. 221), with a = 4.395 Å, b = 4.395 Å, c = 4.395 Å, α = 90.00°, β = 90.00° and γ = 90.00°. The distinct sites, in fractional coordinates, are Li at (0.000, 0.000, 0.000), Fe at (0.500, 0.500, 0.500) and P at (0.000, 0.500, 0.500).

no.,N(E_F) (states/eV/f.u.),energy (eV per atom),total magnetic moment (μB per atom)
1,5.63,-4.824,0.184
2,1.64,-1.477,0.398
3,0.00,-4.938,0.000
4,3.32,-4.660,0.189
5,1.44,-4.805,0.000
6,7.26,-2.332,0.000
7,9.29,-8.088,1.707
8,0.26,-5.016,0.000